VASP calculation (PBE) on an optimized crystal structure of Pm3Sb2Se2.

Properties
- D(E_F) (states/eV/f.u.) = 3.21
- relative energy among the computed polymorphs (meV/atom) = 0

a = 13.304 Å, b = 4.262 Å, c = 8.580 Å
α = 90.00°, β = 119.22°, γ = 90.00°
Space group C2/m (No. 12)
Symmetry-distinct sites (fractional):
Pm 0.000 0.000 0.000 (multiplicity 2)
Pm 0.151 0.500 0.729 (multiplicity 4)
Sb 0.069 0.000 0.406 (multiplicity 4)
Se 0.170 0.500 0.091 (multiplicity 4)